DFT (PBE with a Hubbard U) results for Li3Pm3CrO8 after structural relaxation.

## Properties
- E (hartree per atom) = -0.255
- ρ (g cm⁻³) = 5.344

Unit cell a=6.805 b=6.803 c=6.306 alpha=122.69 beta=90.00 gamma=120.01
Element x y z (fractional)
O1 0.790 0.007 0.724
Li1 0.000 0.500 0.000
O2 0.253 0.506 0.259
O3 0.217 0.007 0.724
Pm1 0.500 0.000 0.500
Pm2 0.000 0.500 0.500
O4 0.747 0.494 0.741
Li2 0.500 0.500 0.000
Li3 0.000 0.000 0.000
O5 0.783 0.993 0.276
O6 0.210 0.993 0.276
O7 0.217 0.434 0.724
Cr1 0.000 0.000 0.500
O8 0.783 0.566 0.276
Pm3 0.500 0.500 0.500